Record 1
SrCdTe2 at its PBEsol-relaxed geometry, computed with meta-GGA SCAN.

CIF file:
```
data_SrCdTe2
_chemical_formula_sum 'Sr3 Cd3 Te6'
_symmetry_space_group_name_H-M 'R -3 m'
_symmetry_Int_Tables_number 166
_symmetry_space_group_name_Hall '-R 3 2"'
_cell_length_a 5.0687
_cell_length_b 5.0687
_cell_length_c 24.8704
_cell_angle_alpha 90.00
_cell_angle_beta 90.00
_cell_angle_gamma 120.00
loop_
_atom_site_label
_atom_site_type_symbol
_atom_site_fract_x
_atom_site_fract_y
_atom_site_fract_z
Sr1 Sr 0.0000 0.0000 0.0000
Cd1 Cd 0.0000 0.0000 0.5000
Te1 Te 0.0000 0.0000 0.3951
```

As for the total magnetization: 0.0 Bohr magnetons per cell. Its calculated density is 4.1 g/cm³. Its raw formation energy is -954 meV/atom.

=====

Record 2
LiHg2H2 at its PBEsol-relaxed geometry, computed with meta-GGA SCAN.

CIF file:
```
data_LiHg2H2
_chemical_formula_sum 'Li2 Hg4 H4'
_symmetry_space_group_name_H-M 'P 4/m b m'
_symmetry_Int_Tables_number 127
_symmetry_space_group_name_Hall '-P 4 2ab'
_cell_length_a 5.9191
_cell_length_b 5.9191
_cell_length_c 3.8707
_cell_angle_alpha 90.00
_cell_angle_beta 90.00
_cell_angle_gamma 90.00
loop_
_atom_site_label
_atom_site_type_symbol
_atom_site_fract_x
_atom_site_fract_y
_atom_site_fract_z
Li1 Li 0.0000 0.0000 0.0000
Hg1 Hg 0.1850 0.3150 0.5000
H1 H 0.1894 0.3106 0.0000
```

As for the total magnetization: 0.0 Bohr magnetons per cell. Its calculated density is 10.0 g/cm³. As for the uncorrected energy: -29.106 eV per atom.

=====

Record 3
Co2IrSe at its PBEsol-relaxed geometry, computed with meta-GGA SCAN.

CIF file:
```
data_Co2IrSe
_chemical_formula_sum 'Co2 Ir1 Se1'
_symmetry_space_group_name_H-M 'P 1 2/m 1'
_symmetry_Int_Tables_number 10
_cell_length_a 4.2861
_cell_length_b 2.7971
_cell_length_c 4.4503
_cell_angle_alpha 90.00
_cell_angle_beta 107.94
_cell_angle_gamma 90.00
loop_
_symmetry_equiv_pos_as_xyz
'x,y,z'
'-x,-y,-z'
'-x,y,-z'
'x,-y,z'
loop_
_atom_site_label
_atom_site_type_symbol
_atom_site_fract_x
_atom_site_fract_y
_atom_site_fract_z
Co1 Co 0.0000 0.0000 0.0000
Co2 Co 0.0000 0.5000 0.5000
Ir1 Ir 0.5000 0.0000 0.5000
Se1 Se 0.5000 0.5000 0.0000
```

As for the total magnetization: 3.5 Bohr magnetons per cell. Its calculated density is 12.7 g/cm³. Its raw formation energy is 433 meV/atom.

=====

Record 4
Ta2SbAs at its PBEsol-relaxed geometry, computed with meta-GGA SCAN.

CIF file:
```
data_Ta2SbAs
_chemical_formula_sum 'Ta4 Sb2 As2'
_symmetry_space_group_name_H-M 'C 1 m 1'
_symmetry_Int_Tables_number 8
_cell_length_a 9.4757
_cell_length_b 3.3618
_cell_length_c 4.7100
_cell_angle_alpha 90.00
_cell_angle_beta 104.61
_cell_angle_gamma 90.00
loop_
_symmetry_equiv_pos_as_xyz
'x,y,z'
'x,-y,z'
'x+1/2,y+1/2,z'
'x+1/2,-y+1/2,z'
loop_
_atom_site_label
_atom_site_type_symbol
_atom_site_fract_x
_atom_site_fract_y
_atom_site_fract_z
Ta1 Ta 0.0000 0.0000 0.0000
Ta2 Ta 0.2202 0.0000 0.6286
Sb1 Sb 0.4827 0.0000 0.4859
As1 As 0.2250 0.5000 0.1093
```

As for the total magnetization: 0.0 Bohr magnetons per cell. Its calculated density is 12.8 g/cm³. Its raw formation energy is -90 meV/atom.

=====

Record 5
Ba2TlAs at its PBEsol-relaxed geometry, computed with meta-GGA SCAN.

CIF file:
```
data_Ba2TlAs
_chemical_formula_sum 'Ba2 Tl1 As1'
_symmetry_space_group_name_H-M 'P 4 m m'
_symmetry_Int_Tables_number 99
_cell_length_a 4.7308
_cell_length_b 4.7308
_cell_length_c 6.8343
_cell_angle_alpha 90.00
_cell_angle_beta 90.00
_cell_angle_gamma 90.00
loop_
_symmetry_equiv_pos_as_xyz
'x,y,z'
'-y,x,z'
'-x,-y,z'
'y,-x,z'
'-x,y,z'
'y,x,z'
'x,-y,z'
'-y,-x,z'
loop_
_atom_site_label
_atom_site_type_symbol
_atom_site_fract_x
_atom_site_fract_y
_atom_site_fract_z
Ba1 Ba 0.0000 0.0000 0.0000
Ba2 Ba 0.5000 0.5000 0.4301
Tl1 Tl 0.0000 0.0000 0.5285
As1 As 0.5000 0.5000 0.9118
```

As for the total magnetization: 0.0 Bohr magnetons per cell. Its calculated density is 6.0 g/cm³. As for the energy of formation: -527 meV per atom.

=====

Record 6
Tc2Os at its PBEsol-relaxed geometry, computed with meta-GGA SCAN.

CIF file:
```
data_Tc2Os
_chemical_formula_sum 'Tc8 Os4'
_symmetry_space_group_name_H-M 'C m c m'
_symmetry_Int_Tables_number 63
_symmetry_space_group_name_Hall '-C 2c 2'
_cell_length_a 2.7235
_cell_length_b 14.1936
_cell_length_c 4.3253
_cell_angle_alpha 90.00
_cell_angle_beta 90.00
_cell_angle_gamma 90.00
loop_
_atom_site_label
_atom_site_type_symbol
_atom_site_fract_x
_atom_site_fract_y
_atom_site_fract_z
Tc1 Tc 0.0000 0.0553 0.2500
Tc2 Tc 0.0000 0.3887 0.2500
Os1 Os 0.0000 0.2775 0.7500
```

As for the total magnetization: 0.0 Bohr magnetons per cell. Its calculated density is 15.3 g/cm³. As for the energy of formation: -63 meV per atom.

=====

Record 7
Ag4C at its PBEsol-relaxed geometry, computed with meta-GGA SCAN.

CIF file:
```
data_Ag4C
_chemical_formula_sum 'Ag8 C2'
_symmetry_space_group_name_H-M 'I m -3 m'
_symmetry_Int_Tables_number 229
_symmetry_space_group_name_Hall '-I 4 2 3'
_cell_length_a 5.4138
_cell_length_b 5.4138
_cell_length_c 5.4138
_cell_angle_alpha 90.00
_cell_angle_beta 90.00
_cell_angle_gamma 90.00
loop_
_atom_site_label
_atom_site_type_symbol
_atom_site_fract_x
_atom_site_fract_y
_atom_site_fract_z
Ag1 Ag 0.2500 0.2500 0.2500
C1 C 0.0000 0.0000 0.0000
```

As for the total magnetization: 0.0 Bohr magnetons per cell. Its calculated density is 9.3 g/cm³. As for the energy of formation: 851 meV per atom.

=====

Record 8
MgCd3Se at its PBEsol-relaxed geometry, computed with meta-GGA SCAN.

CIF file:
```
data_MgCd3Se
_chemical_formula_sum 'Mg1 Cd3 Se1'
_symmetry_space_group_name_H-M 'P m -3 m'
_symmetry_Int_Tables_number 221
_symmetry_space_group_name_Hall '-P 4 2 3'
_cell_length_a 5.3108
_cell_length_b 5.3108
_cell_length_c 5.3108
_cell_angle_alpha 90.00
_cell_angle_beta 90.00
_cell_angle_gamma 90.00
loop_
_atom_site_label
_atom_site_type_symbol
_atom_site_fract_x
_atom_site_fract_y
_atom_site_fract_z
Mg1 Mg 0.0000 0.0000 0.0000
Cd1 Cd 0.0000 0.5000 0.5000
Se1 Se 0.5000 0.5000 0.5000
```

As for the total magnetization: 0.0 Bohr magnetons per cell. Its calculated density is 4.9 g/cm³. Its raw formation energy is 403 meV/atom.

=====

Record 9
K2BaBe at its PBEsol-relaxed geometry, computed with meta-GGA SCAN.

CIF file:
```
data_K2BaBe
_chemical_formula_sum 'K2 Ba1 Be1'
_symmetry_space_group_name_H-M 'P 1 2/m 1'
_symmetry_Int_Tables_number 10
_cell_length_a 4.5511
_cell_length_b 6.6646
_cell_length_c 5.7802
_cell_angle_alpha 90.00
_cell_angle_beta 96.32
_cell_angle_gamma 90.00
loop_
_symmetry_equiv_pos_as_xyz
'x,y,z'
'-x,-y,-z'
'-x,y,-z'
'x,-y,z'
loop_
_atom_site_label
_atom_site_type_symbol
_atom_site_fract_x
_atom_site_fract_y
_atom_site_fract_z
K1 K 0.2078 0.0000 0.2828
Ba1 Ba 0.5000 0.5000 0.0000
Be1 Be 0.0000 0.5000 0.5000
```

As for the total magnetization: 0.8 Bohr magnetons per cell. Its calculated density is 2.1 g/cm³. As for the energy of formation: 618 meV per atom.

=====

Record 10
MgZn2Hg at its PBEsol-relaxed geometry, computed with meta-GGA SCAN.

CIF file:
```
data_MgZn2Hg
_chemical_formula_sum 'Mg2 Zn4 Hg2'
_symmetry_space_group_name_H-M 'I 4/m m m'
_symmetry_Int_Tables_number 139
_symmetry_space_group_name_Hall '-I 4 2'
_cell_length_a 4.0908
_cell_length_b 4.0908
_cell_length_c 8.3950
_cell_angle_alpha 90.00
_cell_angle_beta 90.00
_cell_angle_gamma 90.00
loop_
_atom_site_label
_atom_site_type_symbol
_atom_site_fract_x
_atom_site_fract_y
_atom_site_fract_z
Mg1 Mg 0.0000 0.0000 0.0000
Zn1 Zn 0.0000 0.5000 0.2500
Hg1 Hg 0.0000 0.0000 0.5000
```

As for the total magnetization: 0.0 Bohr magnetons per cell. Its calculated density is 8.4 g/cm³. As for the energy of formation: -41 meV per atom.

=====

Record 11
InTc2Sb at its PBEsol-relaxed geometry, computed with meta-GGA SCAN.

CIF file:
```
data_InTc2Sb
_chemical_formula_sum 'In4 Tc8 Sb4'
_symmetry_space_group_name_H-M 'F m -3 m'
_symmetry_Int_Tables_number 225
_symmetry_space_group_name_Hall '-F 4 2 3'
_cell_length_a 6.4303
_cell_length_b 6.4303
_cell_length_c 6.4303
_cell_angle_alpha 90.00
_cell_angle_beta 90.00
_cell_angle_gamma 90.00
loop_
_atom_site_label
_atom_site_type_symbol
_atom_site_fract_x
_atom_site_fract_y
_atom_site_fract_z
In1 In 0.0000 0.0000 0.0000
Tc1 Tc 0.2500 0.2500 0.2500
Sb1 Sb 0.0000 0.0000 0.5000
```

As for the total magnetization: 0.0 Bohr magnetons per cell. Its calculated density is 10.8 g/cm³. Its raw formation energy is 289 meV/atom.